SmTmMg4 | GGA-PBE | relaxed

Cell lengths 6.042, 6.042, 6.042 Å; angles 60.00, 60.00, 60.00 degrees
Fractional coordinates of all 6 atoms:
Sm: 0.000 0.000 0.000
Tm: 0.750 0.750 0.750
Mg: 0.375 0.375 0.375
Mg: 0.375 0.375 0.875
Mg: 0.375 0.875 0.375
Mg: 0.875 0.375 0.375

Calculated values
The volume is 26.0 Å³ per atom. The formation energy comes out at -0.0680 eV per atom. As for the electronic total energy: -2.663 eV per atom.